Below is a relaxed TlIr2I2 crystal, with properties calculated at the PBE level.

a = 5.058 Å, b = 5.058 Å, c = 9.548 Å
α = 90.00°, β = 90.00°, γ = 90.00°
Space group I4/mmm (No. 139)
Unique sites:
Tl1 0.000 0.000 0.000 x2
Ir1 0.000 0.000 0.362 x4
I1 0.000 0.500 0.250 x4

Properties
Total DFT energy (no corrections) = -3.932 eV per atom
Crystal system = tetragonal
Formation energy from raw total energies = 0.71 eV/atom



Below is a relaxed BeAlCdP2 crystal, with properties calculated at the PBE level.

a = 4.587 Å, b = 4.587 Å, c = 5.285 Å
α = 90.00°, β = 90.00°, γ = 90.00°
Space group P4/mmm (No. 123)
Unique sites:
Be1 0.000 0.000 0.000 x1
Al1 0.500 0.500 0.500 x1
Cd1 0.500 0.500 0.000 x1
P1 0.000 0.500 0.500 x2

Properties
Total DFT energy (no corrections) = -2.807 eV per atom
Crystal system = tetragonal



Below is a relaxed Ba2Ge2Au crystal, with properties calculated at the PBE level.

a = 4.616 Å, b = 4.659 Å, c = 14.048 Å
α = 90.00°, β = 90.00°, γ = 90.00°
Space group Amm2 (No. 38)
Unique sites:
Ba1 0.000 0.000 0.000 x2
Ba2 0.000 0.000 0.246 x2
Ge1 0.500 0.000 0.634 x2
Ge2 0.500 0.000 0.817 x2
Au1 0.500 0.000 0.424 x2

Properties
Total DFT energy (no corrections) = -3.775 eV per atom
Crystal system = orthorhombic



Question: The lowest total DFT energy (no corrections) belongs to which entry?
Answer: TlIr2I2



What did the third record say?
Below is a relaxed Ba2Ge2Au crystal, with properties calculated at the PBE level.

a = 4.616 Å, b = 4.659 Å, c = 14.048 Å
α = 90.00°, β = 90.00°, γ = 90.00°
Space group Amm2 (No. 38)
Unique sites:
Ba1 0.000 0.000 0.000 x2
Ba2 0.000 0.000 0.246 x2
Ge1 0.500 0.000 0.634 x2
Ge2 0.500 0.000 0.817 x2
Au1 0.500 0.000 0.424 x2

Properties
Total DFT energy (no corrections) = -3.775 eV per atom
Crystal system = orthorhombic



Question: Among the records above, which one has the highest total DFT energy (no corrections)?
Answer: BeAlCdP2